Record 1
Material: CsNb2SI
Method: DFT, GGA-PBE
State: relaxed

Unit cell a=5.194 b=5.194 c=6.272 alpha=90.00 beta=90.00 gamma=90.00
Atoms (fractional coordinates):
Cs 0.000 0.000 0.000
Nb 0.000 0.500 0.000
Nb 0.500 0.000 0.000
S 0.500 0.500 0.500
I 0.000 0.000 0.500

D(E_F) = 7.9 states/eV/f.u.
uncorrected formation energy = 2.681 eV/atom



Record 2
Material: ScTiHg3
Method: DFT, GGA-PBE
State: relaxed

Unit cell a=5.170 b=5.170 c=5.170 alpha=90.00 beta=90.00 gamma=90.00
Atoms (fractional coordinates):
Sc 0.000 0.000 0.000
Ti 0.500 0.500 0.500
Hg 0.000 0.500 0.500
Hg 0.500 0.000 0.500
Hg 0.500 0.500 0.000

D(E_F) = 5.7 states/eV/f.u.
formation enthalpy at 0 K = 0.51 eV/atom